This record from Alexandria describes a relaxed structure of SrCdIrO6. The functional is PBE.

abc: 5.624 5.624 5.090
angles: 90.00 90.00 60.00
Fractional coordinates of all 9 atoms:
O (0.051, 0.606, 0.713)
Ir (0.333, 0.333, 0.500)
O (0.606, 0.343, 0.713)
O (0.051, 0.343, 0.287)
O (0.606, 0.051, 0.287)
O (0.343, 0.051, 0.713)
Sr (0.000, 0.000, 0.000)
Cd (0.667, 0.667, 0.500)
O (0.343, 0.606, 0.287)

- ΔE_f (raw) (eV/atom) = -1.10
- M_tot (μB per cell) = 0.0


This record from Alexandria describes a relaxed structure of Sr2CdIrO8. The functional is PBE.

abc: 5.363 4.556 7.026
angles: 78.34 90.87 91.71
Last column: magnetic moment on the atom in μB.
Fractional coordinates of all 12 atoms:
O (0.785, 0.730, 0.915)  0.02
O (0.029, 0.735, 0.264)  0.03
O (0.721, 0.170, 0.099)  0.10
Ir (0.000, 0.000, 0.000)  0.36
O (0.420, 0.127, 0.490)  -0.01
O (0.971, 0.265, 0.736)  0.03
O (0.279, 0.830, 0.901)  0.10
Sr (0.491, 0.378, 0.781)  0.00
O (0.215, 0.270, 0.085)  0.02
Sr (0.509, 0.622, 0.219)  0.00
O (0.580, 0.873, 0.510)  -0.01
Cd (0.000, 0.000, 0.500)  0.01

- ΔE_f (raw) (eV/atom) = -1.28
- M_tot (μB per cell) = 0.8


This record from Alexandria describes a relaxed structure of SrCd2IrO5. The functional is PBE.

abc: 3.767 5.671 6.777
angles: 114.73 106.14 90.00
Last column: magnetic moment on the atom in μB.
Fractional coordinates of all 9 atoms:
O (0.369, 0.627, 0.738)  0.00
Ir (0.500, 0.000, 0.000)  0.15
O (0.631, 0.373, 0.262)  0.00
Cd (0.218, 0.218, 0.436)  0.00
O (0.631, 0.889, 0.262)  0.00
O (0.369, 0.111, 0.738)  0.00
Sr (0.000, 0.500, 0.000)  0.00
O (0.000, 0.000, 0.000)  0.05
Cd (0.782, 0.782, 0.564)  0.00

- ΔE_f (raw) (eV/atom) = -1.20
- M_tot (μB per cell) = 0.2


This record from Alexandria describes a relaxed structure of TbCdIrO6. The functional is PBE.

abc: 5.587 5.587 9.093
angles: 90.00 90.00 120.00
Last column: magnetic moment on the atom in μB.
Fractional coordinates of all 18 atoms:
Tb (0.333, 0.667, 0.250)  0.04
O (0.338, 0.955, 0.631)  0.10
Tb (0.667, 0.333, 0.750)  0.04
O (0.662, 0.045, 0.369)  0.10
O (0.662, 0.617, 0.131)  0.10
O (0.955, 0.338, 0.131)  0.10
O (0.383, 0.045, 0.131)  0.10
O (0.338, 0.383, 0.869)  0.10
Cd (0.000, 0.000, 0.000)  0.02
O (0.617, 0.955, 0.869)  0.10
Cd (0.000, 0.000, 0.500)  0.02
Ir (0.333, 0.667, 0.750)  0.74
O (0.955, 0.617, 0.369)  0.10
O (0.045, 0.383, 0.631)  0.10
O (0.045, 0.662, 0.869)  0.10
Ir (0.667, 0.333, 0.250)  0.74
O (0.617, 0.662, 0.631)  0.10
O (0.383, 0.338, 0.369)  0.10

- ΔE_f (raw) (eV/atom) = -1.40
- M_tot (μB per cell) = 3.1


This record from Alexandria describes a relaxed structure of TbCd2IrO6. The functional is PBE.

abc: 5.648 5.725 8.107
angles: 90.00 90.03 90.00
Last column: magnetic moment on the atom in μB.
Fractional coordinates of all 20 atoms:
Ir (0.500, 0.000, 0.500)  1.14
O (0.390, 0.941, 0.730)  0.09
O (0.110, 0.441, 0.770)  0.09
O (0.708, 0.325, 0.946)  0.11
O (0.792, 0.825, 0.554)  0.11
Cd (0.995, 0.042, 0.747)  0.01
O (0.610, 0.059, 0.270)  0.09
O (0.667, 0.289, 0.564)  0.13
Cd (0.495, 0.458, 0.247)  0.01
Tb (0.500, 0.000, 0.000)  0.01
Tb (0.000, 0.500, 0.500)  0.01
O (0.890, 0.559, 0.230)  0.09
Cd (0.005, 0.958, 0.253)  0.01
O (0.833, 0.789, 0.936)  0.13
O (0.333, 0.711, 0.436)  0.13
Cd (0.505, 0.542, 0.753)  0.01
O (0.167, 0.211, 0.064)  0.13
Ir (0.000, 0.500, 0.000)  1.14
O (0.208, 0.175, 0.446)  0.11
O (0.292, 0.675, 0.054)  0.11

- ΔE_f (raw) (eV/atom) = -1.52
- M_tot (μB per cell) = 4.1


This record from Alexandria describes a relaxed structure of Cd2TcIrO6. The functional is PBE.

abc: 4.214 5.437 5.437
angles: 90.00 90.00 90.00
Last column: magnetic moment on the atom in μB.
Fractional coordinates of all 10 atoms:
Ir (0.645, 0.500, 0.500)  -0.07
Tc (0.645, 0.000, 0.000)  0.53
O (0.644, 0.248, 0.248)  0.01
O (0.144, 0.000, 0.000)  0.01
O (0.644, 0.752, 0.248)  0.01
Cd (0.146, 0.000, 0.500)  0.02
O (0.644, 0.248, 0.752)  0.01
Cd (0.146, 0.500, 0.000)  0.02
O (0.644, 0.752, 0.752)  0.01
O (0.145, 0.500, 0.500)  0.01

- ΔE_f (raw) (eV/atom) = -0.72
- M_tot (μB per cell) = 0.6


> The lowest ΔE_f (raw) belongs to which entry?

TbCd2IrO6


Copy entry 4 word for word.
This record from Alexandria describes a relaxed structure of TbCdIrO6. The functional is PBE.

abc: 5.587 5.587 9.093
angles: 90.00 90.00 120.00
Last column: magnetic moment on the atom in μB.
Fractional coordinates of all 18 atoms:
Tb (0.333, 0.667, 0.250)  0.04
O (0.338, 0.955, 0.631)  0.10
Tb (0.667, 0.333, 0.750)  0.04
O (0.662, 0.045, 0.369)  0.10
O (0.662, 0.617, 0.131)  0.10
O (0.955, 0.338, 0.131)  0.10
O (0.383, 0.045, 0.131)  0.10
O (0.338, 0.383, 0.869)  0.10
Cd (0.000, 0.000, 0.000)  0.02
O (0.617, 0.955, 0.869)  0.10
Cd (0.000, 0.000, 0.500)  0.02
Ir (0.333, 0.667, 0.750)  0.74
O (0.955, 0.617, 0.369)  0.10
O (0.045, 0.383, 0.631)  0.10
O (0.045, 0.662, 0.869)  0.10
Ir (0.667, 0.333, 0.250)  0.74
O (0.617, 0.662, 0.631)  0.10
O (0.383, 0.338, 0.369)  0.10

- ΔE_f (raw) (eV/atom) = -1.40
- M_tot (μB per cell) = 3.1


> The lowest M_tot belongs to which entry?

SrCdIrO6


> M_tot of number 3 (SrCd2IrO5)?

0.2 μB per cell